A plane-wave DFT calculation with PBE-GGA was carried out for an optimized crystal structure of Pa3Se2S3.

Calculated values
DOS at the Fermi energy   1.328 states/eV per atom
ΔE_f (raw)   -1.20 eV/atom
E   -7.1788 eV per atom
Volume   20.987 A^3/atom

Cell lengths 10.4084, 10.4084, 10.4084 Å; angles 159.89, 154.31, 32.84 degrees
Last column: nearest neighbours and their distance in Å.
Fractional positions:
1 Pa 0.0000 0.0000 0.0000  8 S 2.84-2.94
2 Pa 0.3514 0.8514 0.5000  4 Se 2.89-2.93, 4 S 3.05
3 Pa 0.6486 0.1486 0.5000  4 Se 2.89-2.93, 4 S 3.05
4 Se 0.2390 0.2390 0.0000  4 Pa 2.89-2.93, 4 Se 2.97, 2 S 3.16
5 Se 0.7610 0.7610 0.0000  4 Pa 2.89-2.93, 4 Se 2.97, 2 S 3.16
6 S 0.1092 0.6092 0.5000  6 Pa 2.84-3.05, 2 Se 3.16
7 S 0.5000 0.5000 0.0000  4 Pa 2.94, 4 S 3.18
8 S 0.8908 0.3908 0.5000  6 Pa 2.84-3.05, 2 Se 3.16

---

A plane-wave DFT calculation with PBE-GGA was carried out for an optimized crystal structure of PaSeS2.

Calculated values
DOS at the Fermi energy   1.641 states/eV per atom
ΔE_f (raw)   0.27 eV/atom
E   -5.0350 eV per atom
Volume   22.144 A^3/atom

Cell lengths 8.9304, 8.9304, 8.9304 Å; angles 22.12, 22.12, 22.12 degrees
Last column: nearest neighbours and their distance in Å.
Fractional positions:
1 Pa 0.0000 0.0000 0.0000  2 S 2.59
2 Se 0.5000 0.5000 0.5000  6 S 2.65
3 S 0.0990 0.0990 0.0990  1 Pa 2.59, 3 Se 2.65
4 S 0.9010 0.9010 0.9010  1 Pa 2.59, 3 Se 2.65

---

A plane-wave DFT calculation with PBE-GGA was carried out for an optimized crystal structure of Pa4Se4S.

Calculated values
DOS at the Fermi energy   1.729 states/eV per atom
ΔE_f (raw)   -0.84 eV/atom
E   -7.0682 eV per atom
Volume   28.964 A^3/atom
Energy relative to the lowest polymorph listed for this composition   0.552 eV/atom

Cell lengths 7.3660, 7.3660, 7.3660 Å; angles 124.53, 124.53, 82.32 degrees
Last column: nearest neighbours and their distance in Å.
Fractional positions:
1 Pa 0.0592 0.6372 0.0000  1 S 2.65, 2 Se 2.81-2.89
2 Pa 0.3628 0.3628 0.4220  1 S 2.65, 2 Se 2.81-2.89
3 Pa 0.6372 0.0592 0.0000  1 S 2.65, 2 Se 2.81-2.89
4 Pa 0.9408 0.9408 0.5780  1 S 2.65, 2 Se 2.81-2.89
5 Se 0.0000 0.5000 0.5000  4 Pa 2.98
6 Se 0.3363 0.3363 0.0000  4 Pa 2.81-2.89
7 Se 0.5000 0.0000 0.5000  4 Pa 2.98
8 Se 0.6637 0.6637 0.0000  4 Pa 2.81-2.89
9 S 0.0000 0.0000 0.0000  4 Pa 2.65

---

A plane-wave DFT calculation with PBE-GGA was carried out for an optimized crystal structure of Pa4Se2S5.

Calculated values
DOS at the Fermi energy   1.227 states/eV per atom
ΔE_f (raw)   -1.14 eV/atom
E   -7.1030 eV per atom
Volume   36.528 A^3/atom
Energy relative to the lowest polymorph listed for this composition   0.292 eV/atom

Cell lengths 15.7907, 15.7907, 6.7565 Å; angles 101.27, 101.27, 14.08 degrees
Last column: nearest neighbours and their distance in Å.
Fractional positions:
1 Pa 0.0000 0.0000 0.2010  1 Pa 2.72, 2 Se 2.72, 2 S 2.80
2 Pa 0.0000 0.0000 0.7990  1 Pa 2.72, 2 Se 2.72, 2 S 2.80
3 Pa 0.2695 0.2695 0.2679  6 S 2.69-2.72
4 Pa 0.7305 0.7305 0.7321  6 S 2.69-2.72
5 Se 0.0768 0.0768 0.0699  2 Pa 2.72
6 Se 0.9232 0.9232 0.9301  2 Pa 2.72
7 S 0.2014 0.2014 0.4552  3 Pa 2.69-2.72
8 S 0.2015 0.2015 0.9559  3 Pa 2.69-2.72
9 S 0.5000 0.5000 0.5000  4 Pa 2.80
10 S 0.7985 0.7985 0.0441  3 Pa 2.69-2.72
11 S 0.7986 0.7986 0.5448  3 Pa 2.69-2.72

---

A plane-wave DFT calculation with PBE-GGA was carried out for an optimized crystal structure of Pa6SiSe3S2.

Calculated values
DOS at the Fermi energy   1.626 states/eV per atom
ΔE_f (raw)   -1.23 eV/atom
E   -7.9909 eV per atom
Volume   22.847 A^3/atom

Cell lengths 9.1281, 9.1281, 8.0083 Å; angles 107.03, 107.03, 25.52 degrees
Last column: nearest neighbours and their distance in Å.
Fractional positions:
1 Pa 0.0067 0.0067 0.2480  1 S 2.74, 2 Si 2.81, 3 Se 2.88-2.91
2 Pa 0.3294 0.3294 0.4290  3 S 2.74-2.75, 3 Se 2.92-2.94
3 Pa 0.3342 0.3342 0.9001  2 S 2.75, 1 Si 2.82, 3 Se 2.92-2.93
4 Pa 0.6658 0.6658 0.0999  2 S 2.75, 1 Si 2.82, 3 Se 2.92-2.93
5 Pa 0.6706 0.6706 0.5710  3 S 2.74-2.75, 3 Se 2.92-2.94
6 Pa 0.9933 0.9933 0.7520  1 S 2.74, 2 Si 2.81, 3 Se 2.88-2.91
7 Si 0.5000 0.5000 0.0000  6 Pa 2.81-2.82
8 Se 0.1640 0.1640 0.8330  6 Pa 2.91-2.94
9 Se 0.5000 0.5000 0.5000  6 Pa 2.88-2.92
10 Se 0.8360 0.8360 0.1670  6 Pa 2.91-2.94
11 S 0.1679 0.1679 0.3352  6 Pa 2.74-2.75
12 S 0.8321 0.8321 0.6648  6 Pa 2.74-2.75

---

A plane-wave DFT calculation with PBE-GGA was carried out for an optimized crystal structure of Pa4SiSeS2.

Calculated values
DOS at the Fermi energy   1.717 states/eV per atom
ΔE_f (raw)   -1.21 eV/atom
E   -8.1023 eV per atom
Volume   22.460 A^3/atom

Cell lengths 6.9887, 6.8510, 5.6421 Å; angles 67.22, 64.67, 48.11 degrees
Last column: nearest neighbours and their distance in Å.
Fractional positions:
1 Pa 0.0000 0.0000 0.5000  2 Se 2.82, 2 Si 2.82, 2 S 2.83
2 Pa 0.2469 0.2469 0.7531  1 Si 2.79, 4 S 2.82, 1 Se 2.86
3 Pa 0.5000 0.5000 0.0000  2 Se 2.82, 2 Si 2.82, 2 S 2.83
4 Pa 0.7531 0.7531 0.2469  1 Si 2.79, 4 S 2.82, 1 Se 2.86
5 Si 0.0000 0.0000 0.0000  6 Pa 2.79-2.82
6 Se 0.5000 0.5000 0.5000  6 Pa 2.82-2.86
7 S 0.2500 0.2500 0.2500  6 Pa 2.82-2.83
8 S 0.7500 0.7500 0.7500  6 Pa 2.82-2.83